1.
A plane-wave DFT calculation with PBE-GGA was carried out for a geometry-optimized FeAgPt2 structure.

```
FeAgPt2
1.0
4.6226 -1.3988 0.0000
4.6226 1.3988 0.0000
-0.9965 0.0000 4.7499
Fe Ag Pt
1 1 2
Direct
0.0000 0.0000 0.0000
0.5000 0.5000 0.5000
0.2589 0.2589 0.7605
0.7411 0.7411 0.2395
```

Computed properties:
As for the density of states at the Fermi level: 0.654 states/eV per atom. For the volume, the calculation gives 61.4 Å³/f.u. For the energy relative to the elements, the calculation gives -0.1 eV/f.u.

---

2.
A plane-wave DFT calculation with PBE-GGA was carried out for a geometry-optimized CaOs2 structure.

```
CaOs2
1.0
2.8716 0.0000 0.0000
-1.4358 2.4869 0.0000
0.0000 0.0000 7.2251
Ca Os
1 2
Direct
0.0000 0.0000 0.0000
0.3333 0.6667 0.3588
0.6667 0.3333 0.6412
```

Computed properties:
As for the density of states at the Fermi level: 1.131 states/eV per atom. For the volume, the calculation gives 51.6 Å³/f.u. For the energy relative to the elements, the calculation gives 2.1 eV/f.u.

---

3.
A plane-wave DFT calculation with PBE-GGA was carried out for a geometry-optimized NaPd2Au structure.

```
NaPd2Au
1.0
0.0000 3.2462 3.2462
3.2462 0.0000 3.2462
3.2462 3.2462 0.0000
Na Pd Au
1 2 1
Direct
0.0000 0.0000 0.0000
0.2500 0.2500 0.2500
0.7500 0.7500 0.7500
0.5000 0.5000 0.5000
```

Computed properties:
The calculation puts the energy relative to the lowest polymorph listed for this composition at 14 kJ/mol of formula units. As for the density of states at the Fermi level: 0.028 states/eV per atom. For the volume, the calculation gives 68.4 Å³/f.u. For the energy relative to the elements, the calculation gives -0.4 eV/f.u.

---

4.
A plane-wave DFT calculation with PBE-GGA was carried out for a geometry-optimized Nd4YHo structure.

```
Nd4YHo
1.0
3.6448 0.0000 0.0000
0.0000 5.1436 0.0000
0.0000 0.0000 10.8719
Nd Y Ho
4 1 1
Direct
0.0000 0.0000 0.1649
0.0000 0.0000 0.8351
0.5000 0.5000 0.3328
0.5000 0.5000 0.6672
0.0000 0.0000 0.5000
0.5000 0.5000 0.0000
```

Computed properties:
The calculation puts the energy relative to the lowest polymorph listed for this composition at 0 kJ/mol of formula units. As for the density of states at the Fermi level: 1.497 states/eV per atom. For the volume, the calculation gives 203.8 Å³/f.u. For the energy relative to the elements, the calculation gives 0.1 eV/f.u.